No. 1
First-principles (PBE) data for an optimized crystal structure of SnBiSe3, as listed in the Alexandria database.

Lattice parameters (Å, degrees): 5.2545 5.2545 5.2545 90.00 90.00 90.00
Space group Pm-3m (No. 221)
One atom of each set of equivalent atoms:
Sn 0.0000 0.0000 0.0000 x1
Bi 0.5000 0.5000 0.5000 x1
Se 0.0000 0.0000 0.5000 x3

Values from the calculation:
E (eV for the cell shown): -17.2
E_form (uncorrected) (eV per atom): 0.235
Density (kg/m³): 6462
Distance to the lowest polymorph of the same formula (meV/atom): 580.5


No. 2
First-principles (PBE) data for an optimized crystal structure of Sn2BiSe2, as listed in the Alexandria database.

Lattice parameters (Å, degrees): 8.3826 8.3826 3.9770 90.00 90.00 90.00
Space group P4/mbm (No. 127)
One atom of each set of equivalent atoms:
Sn 0.1677 0.3323 0.0000 x4
Bi 0.0000 0.0000 0.5000 x2
Se 0.1564 0.6564 0.5000 x4

Values from the calculation:
E (eV for the cell shown): -38.7
E_form (uncorrected) (eV per atom): -0.098
Density (kg/m³): 7182
Distance to the lowest polymorph of the same formula (meV/atom): 0.0


No. 3
First-principles (PBE) data for an optimized crystal structure of Sn2BiSe, as listed in the Alexandria database.

Lattice parameters (Å, degrees): 4.2826 4.2826 22.5367 90.00 90.00 120.00
Space group R-3m (No. 166, hexagonal axes)
One atom of each set of equivalent atoms:
Sn 0.0000 0.0000 0.2443 x6
Bi 0.0000 0.0000 0.0000 x3
Se 0.0000 0.0000 0.5000 x3

Values from the calculation:
E (eV for the cell shown): -47.2
E_form (uncorrected) (eV per atom): -0.089
Density (kg/m³): 7311
Distance to the lowest polymorph of the same formula (meV/atom): 0.0


No. 4
First-principles (PBE) data for an optimized crystal structure of SnBiSe4, as listed in the Alexandria database.

Lattice parameters (Å, degrees): 9.5491 8.3009 9.7948 90.00 90.00 90.00
Space group Cmcm (No. 63)
One atom of each set of equivalent atoms:
Sn 0.0000 0.0706 0.2500 x4
Bi 0.0000 0.4797 0.7500 x4
Se 0.0000 0.2820 0.0508 x8
Se 0.2122 0.1150 0.7500 x8

Values from the calculation:
E (eV for the cell shown): -89.6
E_form (uncorrected) (eV per atom): -0.096
Density (kg/m³): 5505


No. 5
First-principles (PBE) data for an optimized crystal structure of Sn3BiSe, as listed in the Alexandria database.

Lattice parameters (Å, degrees): 5.5444 5.5444 5.5444 90.00 90.00 90.00
Space group Pm-3m (No. 221)
One atom of each set of equivalent atoms:
Sn 0.0000 0.0000 0.5000 x3
Bi 0.5000 0.5000 0.5000 x1
Se 0.0000 0.0000 0.0000 x1

Values from the calculation:
E (eV for the cell shown): -18.0
E_form (uncorrected) (eV per atom): 0.269
Density (kg/m³): 6275
Distance to the lowest polymorph of the same formula (meV/atom): 0.0


No. 6
First-principles (PBE) data for an optimized crystal structure of Sn2BiSe2, as listed in the Alexandria database.

Lattice parameters (Å, degrees): 8.5257 8.5257 3.8197 90.00 90.00 90.00
Space group P4/mbm (No. 127)
One atom of each set of equivalent atoms:
Sn 0.1657 0.3343 0.0000 x4
Bi 0.0000 0.0000 0.0000 x2
Se 0.1632 0.6632 0.5000 x4

Values from the calculation:
E (eV for the cell shown): -38.4
E_form (uncorrected) (eV per atom): -0.067
Density (kg/m³): 7229
Distance to the lowest polymorph of the same formula (meV/atom): 31.7